Record 1
A plane-wave DFT calculation with PBE was carried out for a geometry-optimized Pd12Pt5Au structure.

## Properties
theoretical density = 14.5 g/cm3
total DFT energy (no corrections) = -5.343 eV per atom
space-group type = No. 12
E_form = -0.4 eV per formula unit

a = 8.386 Å, b = 8.386 Å, c = 4.866 Å
α = 106.74°, β = 106.74°, γ = 60.20°
Fractional positions:
1 Pd 0.000 0.333 0.834
2 Pd 0.000 0.667 0.166
3 Pd 0.164 0.836 0.000
4 Pd 0.166 0.499 0.667
5 Pd 0.332 0.668 0.500
6 Pd 0.333 0.000 0.834
7 Pd 0.499 0.166 0.667
8 Pd 0.501 0.834 0.333
9 Pd 0.667 0.000 0.166
10 Pd 0.668 0.332 0.500
11 Pd 0.834 0.501 0.333
12 Pd 0.836 0.164 0.000
13 Pt 0.000 0.000 0.500
14 Pt 0.166 0.166 0.335
15 Pt 0.331 0.331 0.171
16 Pt 0.669 0.669 0.829
17 Pt 0.834 0.834 0.665
18 Au 0.500 0.500 0.000

---

Record 2
A plane-wave DFT calculation with PBE was carried out for a geometry-optimized Pd4Pt2Au5 structure.

## Properties
theoretical density = 14.9 g/cm3
relative energy among the computed polymorphs = 55 meV per atom
total DFT energy (no corrections) = -4.338 eV per atom
space-group type = No. 12
E_form = 1.5 eV per formula unit

a = 8.717 Å, b = 8.717 Å, c = 6.018 Å
α = 97.40°, β = 97.40°, γ = 26.36°
Fractional positions:
1 Pd 0.036 0.036 0.311
2 Pd 0.274 0.274 0.151
3 Pd 0.726 0.726 0.849
4 Pd 0.964 0.964 0.689
5 Pt 0.423 0.423 0.390
6 Pt 0.577 0.577 0.610
7 Au 0.120 0.120 0.948
8 Au 0.191 0.191 0.516
9 Au 0.500 0.500 0.000
10 Au 0.809 0.809 0.484
11 Au 0.880 0.880 0.052

---

Record 3
A plane-wave DFT calculation with PBE was carried out for a geometry-optimized Pd2PtAu3 structure.

## Properties
theoretical density = 16.0 g/cm3
relative energy among the computed polymorphs = 114 meV per atom
total DFT energy (no corrections) = -4.303 eV per atom
space-group type = No. 15
E_form = 0.4 eV per formula unit

a = 7.290 Å, b = 7.290 Å, c = 5.644 Å
α = 101.24°, β = 101.24°, γ = 45.03°
Fractional positions:
1 Pd 0.152 0.154 0.077
2 Pd 0.154 0.152 0.577
3 Pd 0.846 0.848 0.423
4 Pd 0.848 0.846 0.923
5 Pt 0.253 0.747 0.750
6 Pt 0.747 0.253 0.250
7 Au 0.253 0.747 0.250
8 Au 0.333 0.335 0.417
9 Au 0.335 0.333 0.917
10 Au 0.665 0.667 0.083
11 Au 0.667 0.665 0.583
12 Au 0.747 0.253 0.750

---

Record 4
A plane-wave DFT calculation with PBE was carried out for a geometry-optimized PdPt2Au8 structure.

## Properties
theoretical density = 18.1 g/cm3
relative energy among the computed polymorphs = 0 meV per atom
total DFT energy (no corrections) = -3.957 eV per atom
space-group type = No. 12
E_form = 0.0 eV per formula unit

a = 7.695 Å, b = 7.695 Å, c = 6.433 Å
α = 104.12°, β = 104.12°, γ = 31.04°
Fractional positions:
1 Pd 0.000 0.000 0.000
2 Pt 0.272 0.272 0.368
3 Pt 0.728 0.728 0.632
4 Au 0.092 0.092 0.456
5 Au 0.182 0.182 0.911
6 Au 0.363 0.363 0.815
7 Au 0.453 0.453 0.269
8 Au 0.547 0.547 0.731
9 Au 0.637 0.637 0.185
10 Au 0.818 0.818 0.089
11 Au 0.908 0.908 0.544

---

Record 5
A plane-wave DFT calculation with PBE was carried out for a geometry-optimized Pd8Pt2Au structure.

## Properties
theoretical density = 13.0 g/cm3
relative energy among the computed polymorphs = 222 meV per atom
total DFT energy (no corrections) = -4.971 eV per atom
space-group type = No. 12
E_form = 2.2 eV per formula unit

a = 7.128 Å, b = 7.128 Å, c = 4.892 Å
α = 106.72°, β = 106.72°, γ = 117.43°
Fractional positions:
1 Pd 0.097 0.325 0.621
2 Pd 0.223 0.777 0.000
3 Pd 0.325 0.097 0.621
4 Pd 0.410 0.410 0.183
5 Pd 0.590 0.590 0.817
6 Pd 0.675 0.903 0.379
7 Pd 0.777 0.223 0.000
8 Pd 0.903 0.675 0.379
9 Pt 0.307 0.693 0.500
10 Pt 0.693 0.307 0.500
11 Au 0.000 0.000 0.000

---

Record 6
A plane-wave DFT calculation with PBE was carried out for a geometry-optimized Pd2Pt2Au structure.

## Properties
theoretical density = 15.7 g/cm3
relative energy among the computed polymorphs = 0 meV per atom
total DFT energy (no corrections) = -5.005 eV per atom
space-group type = No. 127
E_form = 0.7 eV per formula unit

a = 7.744 Å, b = 7.744 Å, c = 2.816 Å
α = 90.00°, β = 90.00°, γ = 90.00°
Fractional positions:
1 Pd 0.176 0.324 0.000
2 Pd 0.324 0.824 0.000
3 Pd 0.676 0.176 0.000
4 Pd 0.824 0.676 0.000
5 Pt 0.123 0.623 0.500
6 Pt 0.377 0.123 0.500
7 Pt 0.623 0.877 0.500
8 Pt 0.877 0.377 0.500
9 Au 0.000 0.000 0.500
10 Au 0.500 0.500 0.500

---

Question: Which value of E_form does entry 5 give?
Answer: 2.2 eV per formula unit

---

Question: The lowest theoretical density belongs to which entry?
Answer: Pd8Pt2Au

---

Please write out number 1 again, unchanged.
A plane-wave DFT calculation with PBE was carried out for a geometry-optimized Pd12Pt5Au structure.

## Properties
theoretical density = 14.5 g/cm3
total DFT energy (no corrections) = -5.343 eV per atom
space-group type = No. 12
E_form = -0.4 eV per formula unit

a = 8.386 Å, b = 8.386 Å, c = 4.866 Å
α = 106.74°, β = 106.74°, γ = 60.20°
Fractional positions:
1 Pd 0.000 0.333 0.834
2 Pd 0.000 0.667 0.166
3 Pd 0.164 0.836 0.000
4 Pd 0.166 0.499 0.667
5 Pd 0.332 0.668 0.500
6 Pd 0.333 0.000 0.834
7 Pd 0.499 0.166 0.667
8 Pd 0.501 0.834 0.333
9 Pd 0.667 0.000 0.166
10 Pd 0.668 0.332 0.500
11 Pd 0.834 0.501 0.333
12 Pd 0.836 0.164 0.000
13 Pt 0.000 0.000 0.500
14 Pt 0.166 0.166 0.335
15 Pt 0.331 0.331 0.171
16 Pt 0.669 0.669 0.829
17 Pt 0.834 0.834 0.665
18 Au 0.500 0.500 0.000